DFT (PBE) results for a geometry-optimized Ce2TeP structure.

Results
Its magnetic moment is 0.44 μB/atom. The value obtained for the electronic total energy is -26.28 eV for the cell shown.

Cell and atoms, written as POSCAR:
```
Ce2TeP
1.0
2.113 1.220 7.225
-2.113 1.220 7.225
0.000 -2.440 7.225
Ce Te P
2 1 1
Direct
0.238 0.238 0.238
0.762 0.762 0.762
0.000 0.000 0.000
0.500 0.500 0.500
```

***

DFT (PBE) results for a geometry-optimized ErMgNiAu structure.

Results
The energy of formation from the pure elements is -0.509 eV per atom. Its magnetic moment is 0.00 μB/atom.

Cell and atoms, written as POSCAR:
```
ErMgNiAu
1.0
0.000 3.346 3.346
3.346 0.000 3.346
3.346 3.346 0.000
Er Mg Ni Au
1 1 1 1
Direct
0.000 0.000 0.000
0.500 0.500 0.500
0.750 0.750 0.750
0.250 0.250 0.250
```

***

DFT (PBE) results for a geometry-optimized CoMo2W structure.

Results
The energy of formation from the pure elements is 0.158 eV per atom. Its magnetic moment is 0.33 μB/atom.

Cell and atoms, written as POSCAR:
```
CoMo2W
1.0
3.164 0.000 0.000
0.000 3.164 0.000
0.000 0.000 5.887
Co Mo W
1 2 1
Direct
0.000 0.000 0.000
0.000 0.000 0.504
0.500 0.500 0.249
0.500 0.500 0.770
```

***

DFT (PBE) results for a geometry-optimized Gd2NbNi structure.

Results
The energy of formation from the pure elements is 0.514 eV per atom. Its magnetic moment is 3.78 μB/atom.

Cell and atoms, written as POSCAR:
```
Gd2NbNi
1.0
1.637 0.945 9.919
-1.637 0.945 9.919
0.000 -1.891 9.919
Gd Nb Ni
2 1 1
Direct
0.099 0.099 0.099
0.901 0.901 0.901
0.000 0.000 0.000
0.500 0.500 0.500
```

***

DFT (PBE) results for a geometry-optimized BeInAsIr2 structure.

Results
The energy of formation from the pure elements is 1.299 eV per atom. Its magnetic moment is 0.00 μB/atom.

Cell and atoms, written as POSCAR:
```
BeInAsIr2
1.0
4.578 0.000 0.000
0.000 4.578 0.000
0.000 0.000 5.264
Be In As Ir
1 1 1 2
Direct
0.000 0.000 0.000
0.500 0.500 0.000
0.500 0.500 0.500
0.000 0.500 0.500
0.500 0.000 0.500
```

***

DFT (PBE) results for a geometry-optimized CaPrSi structure.

Results
Its magnetic moment is 0.00 μB/atom. The value obtained for the electronic total energy is -25.68 eV for the cell shown.

Cell and atoms, written as POSCAR:
```
CaPrSi
1.0
3.628 0.000 0.000
-0.001 5.340 0.000
-1.812 -0.812 8.611
Ca Pr Si
2 2 2
Direct
0.076 0.200 0.153
0.924 0.800 0.847
0.206 0.737 0.412
0.794 0.263 0.588
0.442 0.342 0.884
0.558 0.658 0.116
```

***

DFT (PBE) results for a geometry-optimized Mg2Cd2Ni structure.

Results
The energy of formation from the pure elements is -0.097 eV per atom. Its magnetic moment is 0.00 μB/atom.

Cell and atoms, written as POSCAR:
```
Mg2Cd2Ni
1.0
-3.009 6.214 2.610
3.009 -6.214 2.610
3.009 6.214 -2.610
Mg Cd Ni
4 4 2
Direct
0.170 0.160 0.329
0.330 0.660 0.990
0.670 0.340 0.010
0.830 0.840 0.671
0.091 0.659 0.750
0.409 0.159 0.568
0.591 0.841 0.432
0.909 0.341 0.250
0.250 0.250 0.000
0.750 0.750 0.000
```

***

DFT (PBE) results for a geometry-optimized TlS5N structure.

Results
Its magnetic moment is 0.00 μB/atom. The value obtained for the electronic total energy is -30.01 eV for the cell shown.

Cell and atoms, written as POSCAR:
```
TlS5N
1.0
4.419 0.000 0.000
1.007 6.071 0.000
0.284 1.100 8.122
Tl S N
1 5 1
Direct
0.000 0.000 0.000
0.031 0.881 0.455
0.273 0.473 0.941
0.320 0.045 0.570
0.573 0.546 0.100
0.703 0.807 0.631
0.539 0.783 0.136
```

***

DFT (PBE) results for a geometry-optimized KVBiP2 structure.

Results
The energy of formation from the pure elements is 1.772 eV per atom. Its magnetic moment is 0.60 μB/atom.

Cell and atoms, written as POSCAR:
```
KVBiP2
1.0
5.366 0.000 0.000
0.000 5.366 0.000
0.000 0.000 4.756
K V Bi P
1 1 1 2
Direct
0.000 0.000 0.000
0.000 0.000 0.500
0.500 0.500 0.500
0.000 0.500 0.000
0.500 0.000 0.000
```

***

DFT (PBE) results for a geometry-optimized SrV2AuS structure.

Results
Its magnetic moment is 1.13 μB/atom. The value obtained for the electronic total energy is -24.04 eV for the cell shown.

Cell and atoms, written as POSCAR:
```
SrV2AuS
1.0
4.875 0.000 0.000
0.000 4.875 0.000
0.000 0.000 6.074
Sr V Au S
1 2 1 1
Direct
0.000 0.000 0.000
0.000 0.500 0.500
0.500 0.000 0.500
0.000 0.000 0.500
0.500 0.500 0.000
```

***

DFT (PBE) results for a geometry-optimized Sc2Fe3Ir structure.

Results
The energy of formation from the pure elements is -0.471 eV per atom. Its magnetic moment is 0.94 μB/atom.

Cell and atoms, written as POSCAR:
```
Sc2Fe3Ir
1.0
4.290 -2.471 0.000
4.290 2.471 0.000
-2.854 0.000 4.238
Sc Fe Ir
2 3 1
Direct
0.124 0.124 0.372
0.876 0.876 0.628
0.000 0.500 0.000
0.500 0.000 0.000
0.500 0.500 0.000
0.500 0.500 0.500
```

***

DFT (PBE) results for a geometry-optimized Pm2NiRh structure.

Results
The energy of formation from the pure elements is -0.549 eV per atom. Its magnetic moment is 0.00 μB/atom.

Cell and atoms, written as POSCAR:
```
Pm2NiRh
1.0
5.797 0.000 0.000
0.000 4.137 0.000
-2.686 0.000 7.425
Pm Ni Rh
4 2 2
Direct
0.220 0.250 0.429
0.220 0.250 0.931
0.780 0.750 0.069
0.780 0.750 0.571
0.347 0.750 0.210
0.653 0.250 0.790
0.342 0.750 0.713
0.658 0.250 0.287
```

***

Question: Among the records above, which one has the highest magnetic moment?
Answer: Gd2NbNi